(1)
! SrP2Br (GGA-PBE, relaxed); values from VASP
&SYSTEM
  ibrav = 0, nat = 4, ntyp = 3
/
ATOMIC_SPECIES
P 30.97 P.upf
Sr 87.62 Sr.upf
Br 79.90 Br.upf
ATOMIC_POSITIONS crystal
P 0.5174 0.5174 0.3710
Sr 0.2500 0.2500 0.2500
Br 0.7500 0.7500 0.7500
P 0.9826 0.9826 0.1290
CELL_PARAMETERS angstrom
-1.2392 3.7026 5.0144
-3.8107 1.2996 4.9172
2.3949 -2.7095 3.6281
! Total moment: 0.00 μB/cell
! Energy relative to the elements, uncorrected: -0.80 eV/atom
! Total energy: -4.35 eV per atom



(2)
! PmPaHg2 (GGA-PBE, relaxed); values from VASP
&SYSTEM
  ibrav = 0, nat = 4, ntyp = 3
/
ATOMIC_SPECIES
Hg 200.59 Hg.upf
Pm 145.00 Pm.upf
Pa 231.04 Pa.upf
ATOMIC_POSITIONS crystal
Hg 0.7500 0.7500 0.7500
Pm 0.0000 0.0000 0.0000
Hg 0.2500 0.2500 0.2500
Pa 0.5000 0.5000 0.5000
CELL_PARAMETERS angstrom
5.3419 0.0000 0.0000
2.6709 4.6262 0.0000
2.6709 1.5421 4.3616
! Total moment: 2.60 μB/cell
! Total energy: -3.76 eV per atom
! Calculated formation energy: -43 meV/atom



(3)
! SrCa2LaRh (GGA-PBE, relaxed); values from VASP
&SYSTEM
  ibrav = 0, nat = 5, ntyp = 4
/
ATOMIC_SPECIES
Rh 102.91 Rh.upf
La 138.91 La.upf
Ca 40.08 Ca.upf
Sr 87.62 Sr.upf
ATOMIC_POSITIONS crystal
Rh 0.0000 0.0000 0.0000
La 0.5000 0.5000 0.5000
Ca 0.0000 0.5000 0.0000
Ca 0.5000 0.0000 0.0000
Sr 0.0000 0.0000 0.5000
CELL_PARAMETERS angstrom
-3.5623 -3.7965 2.0294
-1.9529 -0.9223 -5.1534
3.9901 -4.1546 -0.7684
! Total moment: 0.00 μB/cell
! Total energy: -3.62 eV per atom
! Calculated formation energy: -31 meV/atom



(4)
! Cs4Au2F (GGA-PBE, relaxed); values from VASP
&SYSTEM
  ibrav = 0, nat = 28, ntyp = 3
/
ATOMIC_SPECIES
Cs 132.91 Cs.upf
Au 196.97 Au.upf
F 19.00 F.upf
ATOMIC_POSITIONS crystal
Cs 0.7500 0.1885 0.4018
Cs 0.4998 0.6699 0.8495
Au 0.2500 0.4745 0.6768
Au 0.2500 0.1006 0.4591
F 0.2500 0.2098 0.0687
Cs 0.2500 0.9477 0.0690
Cs 0.0002 0.6699 0.8495
Cs 0.7500 0.5523 0.5690
Cs 0.2500 0.3115 0.9018
F 0.7500 0.7902 0.9313
Cs 0.2500 0.8115 0.5982
Cs 0.4998 0.1699 0.6505
Cs 0.5002 0.8301 0.3495
Au 0.7500 0.3994 0.9591
Cs 0.7500 0.0523 0.9310
F 0.2500 0.7098 0.4313
Au 0.2500 0.6006 0.0409
Au 0.7500 0.5255 0.3232
Cs 0.7500 0.6885 0.0982
Cs 0.5002 0.3301 0.1505
F 0.7500 0.2902 0.5687
Cs 0.0002 0.1699 0.6505
Au 0.7500 0.0255 0.1768
Cs 0.9998 0.3301 0.1505
Au 0.2500 0.9745 0.8232
Au 0.7500 0.8994 0.5409
Cs 0.2500 0.4477 0.4310
Cs 0.9998 0.8301 0.3495
CELL_PARAMETERS angstrom
-2.2660 -7.1262 4.2108
-2.9930 -4.4125 -9.0782
14.2242 -5.6665 -1.9354
! Total moment: 0.00 μB/cell
! Energy relative to the elements, uncorrected: -0.91 eV/atom
! Total energy: -2.60 eV per atom



(5)
! TlCr2W (GGA-PBE, relaxed); values from VASP
&SYSTEM
  ibrav = 0, nat = 4, ntyp = 3
/
ATOMIC_SPECIES
Tl 204.38 Tl.upf
Cr 52.00 Cr.upf
W 183.84 W.upf
ATOMIC_POSITIONS crystal
Tl 0.5000 0.5000 0.2500
Cr 0.0000 0.0000 0.5350
Cr 0.0000 0.0000 0.9650
W 0.5000 0.5000 0.7500
CELL_PARAMETERS angstrom
3.1446 0.0000 0.0000
0.0000 3.1441 0.0000
0.0000 0.0000 6.4467
! Total moment: 2.88 μB/cell
! Total energy: -8.18 eV per atom
! Calculated formation energy: 464 meV/atom



(6)
! Ba3ZrS (GGA-PBE, relaxed); values from VASP
&SYSTEM
  ibrav = 0, nat = 5, ntyp = 3
/
ATOMIC_SPECIES
S 32.06 S.upf
Ba 137.33 Ba.upf
Zr 91.22 Zr.upf
ATOMIC_POSITIONS crystal
S 0.0000 0.0000 0.0000
Ba 0.0000 0.5000 0.0000
Ba 0.5000 0.0000 0.0000
Ba 0.0000 0.0000 0.5000
Zr 0.5000 0.5000 0.5000
CELL_PARAMETERS angstrom
-4.8982 -3.4726 1.1979
3.0844 -2.8037 4.4846
-1.9950 4.1912 3.9924
! Total moment: 4.90 μB/cell
! Energy relative to the elements, uncorrected: -0.24 eV/atom
! Total energy: -3.92 eV per atom



(7)
! IrRuAu2 (GGA-PBE, relaxed); values from VASP
&SYSTEM
  ibrav = 0, nat = 4, ntyp = 3
/
ATOMIC_SPECIES
Ir 192.22 Ir.upf
Au 196.97 Au.upf
Ru 101.07 Ru.upf
ATOMIC_POSITIONS crystal
Ir 0.5000 0.5000 0.2500
Au 0.0000 0.0000 0.5011
Ru 0.5000 0.5000 0.7500
Au 0.0000 0.0000 0.9989
CELL_PARAMETERS angstrom
2.7831 -0.0040 0.0000
-1.3773 2.4184 0.0000
0.0000 0.0000 9.7530
! Total moment: 1.31 μB/cell
! Total energy: -5.66 eV per atom
! Calculated formation energy: 511 meV/atom



(8)
! Sc3Ge3Ru2 (GGA-PBE, relaxed); values from VASP
&SYSTEM
  ibrav = 0, nat = 32, ntyp = 3
/
ATOMIC_SPECIES
Sc 44.96 Sc.upf
Ge 72.64 Ge.upf
Ru 101.07 Ru.upf
ATOMIC_POSITIONS crystal
Sc 0.1275 0.1849 0.7500
Sc 0.1054 0.4583 0.3841
Ge 0.8789 0.8296 0.7500
Ru 0.1024 0.9306 0.5964
Ge 0.3767 0.7109 0.5405
Ru 0.6024 0.5694 0.0964
Ge 0.8767 0.7891 0.0405
Sc 0.6054 0.0417 0.6159
Ge 0.3767 0.7109 0.9595
Ge 0.1233 0.2109 0.9595
Ge 0.6233 0.2891 0.0405
Ge 0.8767 0.7891 0.4595
Sc 0.3725 0.6849 0.7500
Sc 0.3946 0.9583 0.1159
Sc 0.8946 0.5417 0.6159
Sc 0.8946 0.5417 0.8841
Ru 0.8976 0.0694 0.0964
Sc 0.3946 0.9583 0.3841
Ru 0.1024 0.9306 0.9036
Ge 0.6211 0.3296 0.7500
Sc 0.1054 0.4583 0.1159
Sc 0.8725 0.8151 0.2500
Ge 0.1211 0.1704 0.2500
Ru 0.8976 0.0694 0.4036
Ge 0.1233 0.2109 0.5405
Sc 0.6054 0.0417 0.8841
Ru 0.3976 0.4306 0.9036
Ru 0.3976 0.4306 0.5964
Ge 0.3789 0.6704 0.2500
Ru 0.6024 0.5694 0.4036
Ge 0.6233 0.2891 0.4595
Sc 0.6275 0.3151 0.2500
CELL_PARAMETERS angstrom
5.3346 0.0000 0.0000
0.0000 8.0443 0.0000
0.0000 0.0000 13.6226
! Total moment: 0.00 μB/cell
! Total energy: -7.11 eV per atom
! Calculated formation energy: -689 meV/atom



(9)
! SrSb2PdS (GGA-PBE, relaxed); values from VASP
&SYSTEM
  ibrav = 0, nat = 5, ntyp = 4
/
ATOMIC_SPECIES
Sb 121.76 Sb.upf
Pd 106.42 Pd.upf
Sr 87.62 Sr.upf
S 32.06 S.upf
ATOMIC_POSITIONS crystal
Sb 0.0000 0.0000 0.5000
Pd 0.0000 0.0000 0.0000
Sr 0.5000 0.5000 0.5000
S 0.0000 0.5000 0.0000
Sb 0.5000 0.0000 0.0000
CELL_PARAMETERS angstrom
5.2678 0.0000 0.0000
0.0000 5.0223 0.0000
0.0000 0.0000 5.2678
! Total moment: 0.00 μB/cell
! Energy relative to the elements, uncorrected: -0.26 eV/atom
! Total energy: -4.11 eV per atom



(10)
! CePr5Ho4 (GGA-PBE, relaxed); values from VASP
&SYSTEM
  ibrav = 0, nat = 10, ntyp = 3
/
ATOMIC_SPECIES
Ho 164.93 Ho.upf
Pr 140.91 Pr.upf
Ce 140.12 Ce.upf
ATOMIC_POSITIONS crystal
Ho 0.3050 0.0787 0.6099
Ho 0.6950 0.9213 0.3901
Pr 0.1039 0.7191 0.2077
Ho 0.0939 0.1852 0.1877
Pr 0.7951 0.6029 0.5902
Pr 0.8961 0.2809 0.7923
Pr 0.2049 0.3971 0.4098
Ce 0.5000 0.0000 0.0000
Ho 0.9061 0.8148 0.8123
Pr 0.5000 0.5000 0.0000
CELL_PARAMETERS angstrom
-1.9781 1.9081 -2.2156
-2.6054 -9.1825 -5.5817
-6.4923 -4.2502 4.9486
! Total moment: 0.44 μB/cell
! Total energy: -4.71 eV per atom
! Calculated formation energy: 105 meV/atom



(11)
! Sm2HoZrN4 (GGA-PBE, relaxed); values from VASP
&SYSTEM
  ibrav = 0, nat = 8, ntyp = 4
/
ATOMIC_SPECIES
N 14.01 N.upf
Zr 91.22 Zr.upf
Ho 164.93 Ho.upf
Sm 150.36 Sm.upf
ATOMIC_POSITIONS crystal
N 0.5000 0.2343 0.2279
Zr 0.0000 0.0000 0.0000
N 0.0000 0.2453 0.7678
N 0.0000 0.7547 0.2322
Ho 0.5000 0.5000 0.0000
N 0.5000 0.7657 0.7721
Sm 0.5000 0.0000 0.5000
Sm 0.0000 0.5000 0.5000
CELL_PARAMETERS angstrom
3.4459 0.0000 0.0000
0.0000 5.9734 0.1130
0.0000 -2.0800 5.6408
! Total moment: 0.00 μB/cell
! Energy relative to the elements, uncorrected: -1.62 eV/atom
! Total energy: -8.61 eV per atom



(12)
! ZnP (GGA-PBE, relaxed); values from VASP
&SYSTEM
  ibrav = 0, nat = 2, ntyp = 2
/
ATOMIC_SPECIES
P 30.97 P.upf
Zn 65.41 Zn.upf
ATOMIC_POSITIONS crystal
P 0.0000 0.0000 0.0000
Zn 0.6667 0.3333 0.5000
CELL_PARAMETERS angstrom
1.3856 -2.4000 0.0000
1.3856 2.4000 0.0000
0.0000 0.0000 4.6105
! Total moment: 0.00 μB/cell
! Total energy: -2.92 eV per atom
! Calculated formation energy: 418 meV/atom



> Look up the total energy of the first one.

-4.35 eV per atom



> Which formula does entry 9 have?

SrSb2PdS



> total energy of number 5 (TlCr2W)?

-8.18 eV per atom



> Which of these has the lowest total energy?

Sm2HoZrN4